Compound: Tb3CoRu
Source: Alexandria
Functional: PBE
Structure: relaxed

Lattice parameters (Å, degrees): 7.680 4.056 7.976 90.00 113.53 90.00
Space group P2_1/m (No. 11)
Inequivalent atoms, fractional coordinates:
Tb 0.089 0.250 0.222 x2
Tb 0.311 0.250 0.920 x2
Tb 0.372 0.750 0.595 x2
Co 0.042 0.250 0.558 x2
Ru 0.344 0.750 0.185 x2

total magnetic moment = 0.54 μB/f.u.
electronic total energy = -6.33 eV/atom
D(E_F) = 6.563 states/eV per cell
energy of formation from the pure elements = -0.275 eV per atom
excess energy over the best structure of this formula in the dataset = 0.0 meV per atom


Compound: Tb2CoRu
Source: Alexandria
Functional: PBE
Structure: relaxed

Lattice parameters (Å, degrees): 5.538 4.035 8.086 90.00 107.41 90.00
Space group P2_1/m (No. 11)
Inequivalent atoms, fractional coordinates:
Tb 0.218 0.250 0.425 x2
Tb 0.281 0.750 0.070 x2
Co 0.339 0.750 0.718 x2
Ru 0.164 0.250 0.776 x2

total magnetic moment = 0.80 μB/f.u.
electronic total energy = -6.64 eV/atom
D(E_F) = 7.705 states/eV per cell
energy of formation from the pure elements = -0.234 eV per atom